[1]
A plane-wave DFT calculation with PBE was carried out for a relaxed Pu2UTl crystal.

Results
SG: P4/mmm (123)

```
Pu2UTl
1.0
3.310 0.000 0.000
0.000 3.310 0.000
0.000 0.000 8.857
Pu U Tl
2 1 1
direct
0.000 0.000 0.219
0.000 0.000 0.781
0.500 0.500 0.000
0.500 0.500 0.500
```

[2]
A plane-wave DFT calculation with PBE was carried out for a relaxed YPu3Tl12 crystal.

Results
SG: P4/mmm (123)

```
YPu3Tl12
1.0
4.783 0.000 0.000
0.000 4.783 0.000
0.000 0.000 19.191
Y Pu Tl
1 3 12
direct
0.000 0.000 0.000
0.000 0.000 0.248
0.000 0.000 0.500
0.000 0.000 0.752
0.000 0.500 0.124
0.000 0.500 0.374
0.000 0.500 0.626
0.000 0.500 0.876
0.500 0.000 0.124
0.500 0.000 0.374
0.500 0.000 0.626
0.500 0.000 0.876
0.500 0.500 0.000
0.500 0.500 0.250
0.500 0.500 0.500
0.500 0.500 0.750
```

[3]
A plane-wave DFT calculation with PBE was carried out for a relaxed YPuTl2 crystal.

Results
SG: P4/mmm (123)

```
YPuTl2
1.0
5.004 0.000 0.000
0.000 5.004 0.000
0.000 0.000 4.413
Y Pu Tl
1 1 2
direct
0.000 0.000 0.000
0.500 0.500 0.000
0.000 0.500 0.500
0.500 0.000 0.500
```

[4]
A plane-wave DFT calculation with PBE was carried out for a relaxed Y2PuTl crystal.

Results
SG: Fm-3m (225)

```
Y2PuTl
1.0
0.000 3.846 3.846
3.846 0.000 3.846
3.846 3.846 0.000
Y Pu Tl
2 1 1
direct
0.250 0.250 0.250
0.750 0.750 0.750
0.000 0.000 0.000
0.500 0.500 0.500
```

Number 1: ΔH_f (0 K) 0.72 eV/f.u.. Number 2: ΔH_f (0 K) -1.23 eV/f.u.. Number 3: ΔH_f (0 K) -0.61 eV/f.u.. Number 4: ΔH_f (0 K) 0.13 eV/f.u..